Ti4ReSn: optimized geometry, GGA-PBE.

## Properties
- Formation energy from the elements: 0.09 eV per atom
- Total magnetic moment: 0.000 μB per formula unit

```
data_Ti4ReSn
_chemical_formula_sum 'Ti12 Re3 Sn3'
_cell_length_a 4.4483
_cell_length_b 4.4483
_cell_length_c 21.4355
_cell_angle_alpha 90.00
_cell_angle_beta 90.00
_cell_angle_gamma 120.00
_symmetry_space_group_name_H-M 'R -3 m'
_symmetry_Int_Tables_number 166
_symmetry_space_group_name_Hall '-R 3 2"'
loop_
_atom_site_label
_atom_site_type_symbol
_atom_site_fract_x
_atom_site_fract_y
_atom_site_fract_z
Ti1 Ti 0.0000 0.0000 0.1137
Ti2 Ti 0.0000 0.0000 0.3657
Re1 Re 0.0000 0.0000 0.0000
Sn1 Sn 0.0000 0.0000 0.5000
```

***

KErVBr6: optimized geometry, GGA-PBE.

## Properties
- ΔE_f (raw): -144 kJ/mol of atoms
- Total magnetic moment: 3.000 μB per formula unit

```
data_KErVBr6
_chemical_formula_sum 'K2 Er2 V2 Br12'
_cell_length_a 6.9967
_cell_length_b 6.9967
_cell_length_c 14.9309
_cell_angle_alpha 90.00
_cell_angle_beta 90.00
_cell_angle_gamma 120.00
_symmetry_space_group_name_H-M 'P -3 1 c'
_symmetry_Int_Tables_number 163
_symmetry_space_group_name_Hall '-P 3 2c'
loop_
_atom_site_label
_atom_site_type_symbol
_atom_site_fract_x
_atom_site_fract_y
_atom_site_fract_z
K1 K 0.0000 0.0000 0.0000
Er1 Er 0.3333 0.6667 0.2500
V1 V 0.3333 0.6667 0.7500
Br1 Br 0.0145 0.3725 0.6453
```

***

KLa2BeCo: optimized geometry, GGA-PBE.

## Properties
- Formation energy from the elements: 0.61 eV per atom
- Total magnetic moment: 0.000 μB per formula unit

```
data_KLa2BeCo
_chemical_formula_sum 'K1 La2 Be1 Co1'
_cell_length_a 5.159
_cell_length_b 5.159
_cell_length_c 5.985
_cell_angle_alpha 90.00
_cell_angle_beta 90.00
_cell_angle_gamma 90.00
_symmetry_space_group_name_H-M 'P 4/m m m'
_symmetry_Int_Tables_number 123
_symmetry_space_group_name_Hall '-P 4 2'
loop_
_atom_site_label
_atom_site_type_symbol
_atom_site_fract_x
_atom_site_fract_y
_atom_site_fract_z
K1 K 0.000 0.000 0.000
La1 La 0.000 0.500 0.500
Be1 Be 0.500 0.500 0.000
Co1 Co 0.000 0.000 0.500
```

***

BaF2: optimized geometry, GGA-PBE.

## Properties
- ΔE_f (raw): -355 kJ/mol of atoms
- Total magnetic moment: 0.045 μB per formula unit
- Distance to the lowest polymorph of the same formula: 198 meV per atom

```
data_BaF2
_chemical_formula_sum 'Ba4 F8'
_cell_length_a 3.909
_cell_length_b 3.909
_cell_length_c 18.735
_cell_angle_alpha 90.00
_cell_angle_beta 90.00
_cell_angle_gamma 90.00
_symmetry_space_group_name_H-M 'I 4/m m m'
_symmetry_Int_Tables_number 139
_symmetry_space_group_name_Hall '-I 4 2'
loop_
_atom_site_label
_atom_site_type_symbol
_atom_site_fract_x
_atom_site_fract_y
_atom_site_fract_z
Ba1 Ba 0.000 0.000 0.158
F1 F 0.000 0.000 0.384
F2 F 0.000 0.500 0.250
```

***

Pm5DyY2Ho: optimized geometry, GGA-PBE.

## Properties
- Formation energy from the elements: 0.14 eV per atom
- Total magnetic moment: 0.000 μB per formula unit

```
data_Pm5DyY2Ho
_chemical_formula_sum 'Pm20 Dy4 Y8 Ho4'
_cell_length_a 5.671
_cell_length_b 20.293
_cell_length_c 10.660
_cell_angle_alpha 90.00
_cell_angle_beta 90.00
_cell_angle_gamma 90.00
_symmetry_space_group_name_H-M 'C m c 21'
_symmetry_Int_Tables_number 36
loop_
_symmetry_equiv_pos_as_xyz
'x,y,z'
'-x,-y,z+1/2'
'-x,y,z'
'x,-y,z+1/2'
'x+1/2,y+1/2,z'
'-x+1/2,-y+1/2,z+1/2'
'-x+1/2,y+1/2,z'
'x+1/2,-y+1/2,z+1/2'
loop_
_atom_site_label
_atom_site_type_symbol
_atom_site_fract_x
_atom_site_fract_y
_atom_site_fract_z
Pm1 Pm 0.000 0.018 0.000
Pm2 Pm 0.000 0.281 0.292
Pm3 Pm 0.000 0.298 0.686
Pm4 Pm 0.000 0.389 0.003
Pm5 Pm 0.000 0.481 0.723
Dy1 Dy 0.000 0.410 0.441
Y1 Y 0.000 0.112 0.717
Y2 Y 0.000 0.115 0.296
Ho1 Ho 0.000 0.200 0.991
```

***

Ca2AgI: optimized geometry, GGA-PBE.

## Properties
- ΔE_f (raw): -40 kJ/mol of atoms
- Total magnetic moment: 0.000 μB per formula unit
- Distance to the lowest polymorph of the same formula: 248 meV per atom

```
data_Ca2AgI
_chemical_formula_sum 'Ca8 Ag4 I4'
_cell_length_a 7.841
_cell_length_b 7.841
_cell_length_c 7.841
_cell_angle_alpha 90.00
_cell_angle_beta 90.00
_cell_angle_gamma 90.00
_symmetry_space_group_name_H-M 'F m -3 m'
_symmetry_Int_Tables_number 225
_symmetry_space_group_name_Hall '-F 4 2 3'
loop_
_atom_site_label
_atom_site_type_symbol
_atom_site_fract_x
_atom_site_fract_y
_atom_site_fract_z
Ca1 Ca 0.250 0.250 0.250
Ag1 Ag 0.000 0.000 0.000
I1 I 0.000 0.000 0.500
```

***

SrLaOsO6: optimized geometry, GGA-PBE.

## Properties
- ΔE_f (raw): -205 kJ/mol of atoms
- Total magnetic moment: 1.039 μB per formula unit

```
data_SrLaOsO6
_chemical_formula_sum 'Sr2 La2 Os2 O12'
_cell_length_a 5.8108
_cell_length_b 5.8108
_cell_length_c 9.9341
_cell_angle_alpha 90.00
_cell_angle_beta 90.00
_cell_angle_gamma 120.00
_symmetry_space_group_name_H-M 'P -3 1 c'
_symmetry_Int_Tables_number 163
_symmetry_space_group_name_Hall '-P 3 2c'
loop_
_atom_site_label
_atom_site_type_symbol
_atom_site_fract_x
_atom_site_fract_y
_atom_site_fract_z
Sr1 Sr 0.0000 0.0000 0.0000
La1 La 0.3333 0.6667 0.2500
Os1 Os 0.3333 0.6667 0.7500
O1 O 0.0608 0.3947 0.6419
```

***

Zr3AgHg3F20: optimized geometry, GGA-PBE.

## Properties
- ΔE_f (raw): -256 kJ/mol of atoms
- Total magnetic moment: 0.000 μB per formula unit

```
data_Zr3AgHg3F20
_chemical_formula_sum 'Zr6 Ag2 Hg6 F40'
_cell_length_a 10.8670
_cell_length_b 10.8670
_cell_length_c 8.6644
_cell_angle_alpha 90.00
_cell_angle_beta 90.00
_cell_angle_gamma 120.00
_symmetry_space_group_name_H-M 'P 63/m'
_symmetry_Int_Tables_number 176
_symmetry_space_group_name_Hall '-P 6c'
loop_
_atom_site_label
_atom_site_type_symbol
_atom_site_fract_x
_atom_site_fract_y
_atom_site_fract_z
Zr1 Zr 0.1403 0.4170 0.2500
Ag1 Ag 0.0000 0.0000 0.2500
Hg1 Hg 0.1626 0.4312 0.7500
F1 F 0.0000 0.0000 0.0000
F2 F 0.0287 0.7995 0.7500
F3 F 0.0556 0.5886 0.7500
F4 F 0.0568 0.7744 0.2500
F5 F 0.1458 0.4265 0.0169
F6 F 0.1844 0.6333 0.2500
F7 F 0.3333 0.6667 0.7500
```

***

ThCoSi2Ni2: optimized geometry, GGA-PBE.

## Properties
- ΔE_f (raw): -33 kJ/mol of atoms
- Total magnetic moment: 0.000 μB per formula unit

```
data_ThCoSi2Ni2
_chemical_formula_sum 'Th1 Co1 Si2 Ni2'
_cell_length_a 4.325
_cell_length_b 4.325
_cell_length_c 5.133
_cell_angle_alpha 90.00
_cell_angle_beta 90.00
_cell_angle_gamma 90.00
_symmetry_space_group_name_H-M 'P 4/m m m'
_symmetry_Int_Tables_number 123
_symmetry_space_group_name_Hall '-P 4 2'
loop_
_atom_site_label
_atom_site_type_symbol
_atom_site_fract_x
_atom_site_fract_y
_atom_site_fract_z
Th1 Th 0.000 0.000 0.000
Co1 Co 0.000 0.000 0.500
Si1 Si 0.000 0.500 0.500
Ni1 Ni 0.500 0.500 0.246
```

***

BaSrCCl2: optimized geometry, GGA-PBE.

## Properties
- ΔE_f (raw): -56 kJ/mol of atoms
- Total magnetic moment: 2.000 μB per formula unit

```
data_BaSrCCl2
_chemical_formula_sum 'Ba1 Sr1 C1 Cl2'
_cell_length_a 5.495
_cell_length_b 5.495
_cell_length_c 5.211
_cell_angle_alpha 90.00
_cell_angle_beta 90.00
_cell_angle_gamma 90.00
_symmetry_space_group_name_H-M 'P 4/m m m'
_symmetry_Int_Tables_number 123
_symmetry_space_group_name_Hall '-P 4 2'
loop_
_atom_site_label
_atom_site_type_symbol
_atom_site_fract_x
_atom_site_fract_y
_atom_site_fract_z
Ba1 Ba 0.000 0.000 0.000
Sr1 Sr 0.500 0.500 0.500
C1 C 0.500 0.500 0.000
Cl1 Cl 0.000 0.500 0.500
```